[1]
VASP calculation (GGA-PBE) on a relaxed ScFeW2 crystal.

Lattice parameters (Å, degrees): 3.184 4.625 8.614 90.00 90.00 90.00
Element x y z (fractional)
Sc (0.000, 0.000, 0.000)
Sc (0.500, 0.500, 0.500)
Fe (0.000, 0.500, 0.246)
Fe (0.500, 0.000, 0.746)
W (0.000, 0.000, 0.517)
W (0.000, 0.500, 0.773)
W (0.500, 0.000, 0.273)
W (0.500, 0.500, 0.017)

**E_tot**: -79.4 eV/cell
**Calculated formation energy**: 251.8 meV per atom
**Relative energy among the computed polymorphs**: 0.140 eV per atom
**Crystal system**: orthorhombic
**M_tot**: 1.97 Bohr magnetons per cell

[2]
VASP calculation (GGA-PBE) on a relaxed ScFeW2 crystal.

Lattice parameters (Å, degrees): 2.805 2.805 8.072 90.00 90.00 90.00
Element x y z (fractional)
Sc (0.000, 0.000, 0.000)
Fe (0.000, 0.000, 0.500)
W (0.500, 0.500, 0.291)
W (0.500, 0.500, 0.709)

**E_tot**: -39.6 eV/cell
**Calculated formation energy**: 266.2 meV per atom
**Relative energy among the computed polymorphs**: 0.154 eV per atom
**Crystal system**: tetragonal
**M_tot**: 0.00 Bohr magnetons per cell

[3]
VASP calculation (GGA-PBE) on a relaxed ScFeW3 crystal.

Lattice parameters (Å, degrees): 4.523 4.523 4.523 90.00 90.00 90.00
Element x y z (fractional)
Sc (0.000, 0.000, 0.000)
Fe (0.500, 0.500, 0.500)
W (0.000, 0.500, 0.500)
W (0.500, 0.000, 0.500)
W (0.500, 0.500, 0.000)

**E_tot**: -48.5 eV/cell
**Calculated formation energy**: 1032.7 meV per atom
**Relative energy among the computed polymorphs**: 0.000 eV per atom
**Crystal system**: cubic
**M_tot**: 0.00 Bohr magnetons per cell

[4]
VASP calculation (GGA-PBE) on a relaxed ScFeW2 crystal.

Lattice parameters (Å, degrees): 5.329 9.159 2.742 90.00 109.04 90.00
Element x y z (fractional)
Sc (0.000, 0.000, 0.000)
Sc (0.500, 0.500, 0.000)
Fe (0.000, 0.500, 0.000)
Fe (0.500, 0.000, 0.000)
W (0.250, 0.250, 0.500)
W (0.250, 0.750, 0.500)
W (0.750, 0.250, 0.500)
W (0.750, 0.750, 0.500)

**E_tot**: -79.4 eV/cell
**Calculated formation energy**: 255.1 meV per atom
**Relative energy among the computed polymorphs**: 0.143 eV per atom
**Crystal system**: monoclinic
**M_tot**: 2.11 Bohr magnetons per cell

[5]
VASP calculation (GGA-PBE) on a relaxed ScFe9W2 crystal.

Lattice parameters (Å, degrees): 8.256 8.256 8.256 33.47 33.47 33.47
Element x y z (fractional)
Sc (0.000, 0.000, 0.000)
Fe (0.081, 0.589, 0.589)
Fe (0.334, 0.334, 0.334)
Fe (0.411, 0.411, 0.919)
Fe (0.411, 0.919, 0.411)
Fe (0.500, 0.500, 0.500)
Fe (0.589, 0.081, 0.589)
Fe (0.589, 0.589, 0.081)
Fe (0.666, 0.666, 0.666)
Fe (0.919, 0.411, 0.411)
W (0.143, 0.143, 0.143)
W (0.857, 0.857, 0.857)

**E_tot**: -108.6 eV/cell
**Calculated formation energy**: -15.3 meV per atom
**Crystal system**: trigonal
**M_tot**: 13.46 Bohr magnetons per cell

[6]
VASP calculation (GGA-PBE) on a relaxed ScFeW2 crystal.

Lattice parameters (Å, degrees): 6.288 6.288 6.288 90.00 90.00 90.00
Element x y z (fractional)
Sc (0.000, 0.000, 0.000)
Sc (0.000, 0.500, 0.500)
Sc (0.500, 0.000, 0.500)
Sc (0.500, 0.500, 0.000)
Fe (0.250, 0.250, 0.750)
Fe (0.250, 0.750, 0.250)
Fe (0.750, 0.250, 0.250)
Fe (0.750, 0.750, 0.750)
W (0.000, 0.000, 0.500)
W (0.000, 0.500, 0.000)
W (0.250, 0.250, 0.250)
W (0.250, 0.750, 0.750)
W (0.500, 0.000, 0.000)
W (0.500, 0.500, 0.500)
W (0.750, 0.250, 0.750)
W (0.750, 0.750, 0.250)

**E_tot**: -160.5 eV/cell
**Calculated formation energy**: 144.6 meV per atom
**Relative energy among the computed polymorphs**: 0.033 eV per atom
**Crystal system**: cubic
**M_tot**: 2.75 Bohr magnetons per cell

[7]
VASP calculation (GGA-PBE) on a relaxed ScFeW2 crystal.

Lattice parameters (Å, degrees): 3.105 4.400 9.215 90.00 90.00 90.00
Element x y z (fractional)
Sc (0.000, 0.000, 0.000)
Sc (0.500, 0.500, 0.500)
Fe (0.000, 0.000, 0.500)
Fe (0.500, 0.500, 0.000)
W (0.000, 0.500, 0.235)
W (0.000, 0.500, 0.765)
W (0.500, 0.000, 0.265)
W (0.500, 0.000, 0.735)

**E_tot**: -80.5 eV/cell
**Calculated formation energy**: 111.7 meV per atom
**Relative energy among the computed polymorphs**: 0.000 eV per atom
**Crystal system**: orthorhombic
**M_tot**: 0.68 Bohr magnetons per cell

[8]
VASP calculation (GGA-PBE) on a relaxed ScFeW2 crystal.

Lattice parameters (Å, degrees): 2.875 2.875 27.016 90.00 90.00 120.00
Element x y z (fractional)
Sc (0.000, 0.000, 0.000)
Sc (0.333, 0.667, 0.667)
Sc (0.667, 0.333, 0.333)
Fe (0.000, 0.000, 0.500)
Fe (0.333, 0.667, 0.167)
Fe (0.667, 0.333, 0.833)
W (0.000, 0.000, 0.242)
W (0.000, 0.000, 0.758)
W (0.333, 0.667, 0.425)
W (0.333, 0.667, 0.908)
W (0.667, 0.333, 0.092)
W (0.667, 0.333, 0.575)

**E_tot**: -117.2 eV/cell
**Calculated formation energy**: 407.5 meV per atom
**Relative energy among the computed polymorphs**: 0.296 eV per atom
**Crystal system**: trigonal
**M_tot**: 3.50 Bohr magnetons per cell